# 1
Density functional theory data (GGA-PBE) for an optimized crystal structure of Li5Ac2Ga5.

abc: 4.4968 6.0446 9.4552
angles: 90.00 90.00 90.00
Sites, in units of the cell vectors:
Li (0.5000, 0.2511, 0.7539)
Li (0.5000, 0.7489, 0.7539)
Ac (0.0000, 0.5000, 0.0000)
Ga (0.5000, 0.0000, 0.0000)
Ga (0.0000, 0.5000, 0.6514)
Ac (0.0000, 0.0000, 0.5000)
Ga (0.0000, 0.0000, 0.1619)
Li (0.5000, 0.2511, 0.2461)
Ga (0.0000, 0.5000, 0.3486)
Li (0.5000, 0.5000, 0.5000)
Ga (0.0000, 0.0000, 0.8381)
Li (0.5000, 0.7489, 0.2461)

Summary:
The formation energy comes out at -0.30 eV/atom. The calculated volume is 257 Å³ per cell. The value obtained for the size of the total moment is 0.21 μB per formula unit. The total energy is -36.551 eV/cell.


# 2
Density functional theory data (GGA-PBE) for an optimized crystal structure of Li5Ac12Ga3.

abc: 16.0650 16.0650 16.0650
angles: 109.47 109.47 109.47
Sites, in units of the cell vectors:
Ac (0.5901, 0.7255, 0.6680)
Ac (0.6354, 0.0575, 0.2255)
Li (0.8750, 0.2500, 0.6250)
Ac (0.1354, 0.7255, 0.5575)
Ac (0.5779, 0.6354, 0.4099)
Ac (0.7255, 0.5901, 0.1680)
Li (0.6250, 0.8750, 0.2500)
Li (0.0000, 0.0000, 0.0000)
Ga (0.7500, 0.8750, 0.6250)
Ac (0.2255, 0.5575, 0.6354)
Li (0.5000, 0.0000, 0.0000)
Ac (0.2745, 0.4099, 0.8320)
Ac (0.0779, 0.9099, 0.1354)
Li (0.6250, 0.7500, 0.8750)
Ga (0.7500, 0.3750, 0.1250)
Ga (0.8750, 0.7500, 0.1250)
Ga (0.2500, 0.1250, 0.3750)
Ac (0.5575, 0.3320, 0.9221)
Li (0.0000, 0.0000, 0.5000)
Li (0.7500, 0.6250, 0.3750)
Ac (0.8320, 0.9221, 0.0575)
Ac (0.0901, 0.9221, 0.3646)
Ac (0.1680, 0.0901, 0.7255)
Ac (0.4099, 0.2745, 0.3320)
Ac (0.9099, 0.0779, 0.6354)
Li (0.0000, 0.5000, 0.5000)
Ac (0.9221, 0.0901, 0.8646)
Li (0.2500, 0.3750, 0.6250)
Ga (0.2500, 0.6250, 0.8750)
Ac (0.2255, 0.6680, 0.0901)
Li (0.5000, 0.5000, 0.5000)
Ac (0.3646, 0.9425, 0.7745)
Ga (0.6250, 0.2500, 0.3750)
Li (0.8750, 0.6250, 0.7500)
Ga (0.3750, 0.6250, 0.2500)
Ac (0.7745, 0.4425, 0.3646)
Ac (0.4099, 0.1354, 0.5779)
Ac (0.6680, 0.2255, 0.5901)
Ac (0.9425, 0.3646, 0.2745)
Li (0.3750, 0.2500, 0.1250)
Ac (0.9221, 0.8320, 0.5575)
Ga (0.6250, 0.3750, 0.7500)
Li (0.3750, 0.1250, 0.7500)
Ac (0.1680, 0.0779, 0.9425)
Ac (0.5575, 0.2255, 0.1354)
Ac (0.3320, 0.5575, 0.4221)
Ac (0.8646, 0.5901, 0.9221)
Ac (0.6680, 0.4425, 0.5779)
Ac (0.3320, 0.7745, 0.4099)
Ac (0.8646, 0.2745, 0.4425)
Ac (0.8320, 0.9099, 0.2745)
Ac (0.6354, 0.5779, 0.9099)
Ac (0.2745, 0.8646, 0.9425)
Ac (0.1354, 0.4099, 0.0779)
Ac (0.4425, 0.7745, 0.8646)
Ac (0.0575, 0.6354, 0.7255)
Ac (0.4425, 0.6680, 0.0779)
Ga (0.8750, 0.1250, 0.2500)
Li (0.1250, 0.3750, 0.2500)
Li (0.5000, 0.5000, 0.0000)
Ac (0.0575, 0.4221, 0.8320)
Ac (0.0901, 0.1680, 0.2255)
Ga (0.1250, 0.8750, 0.7500)
Ga (0.3750, 0.7500, 0.6250)
Ac (0.7745, 0.3320, 0.9099)
Ga (0.1250, 0.2500, 0.8750)
Ac (0.9425, 0.5779, 0.1680)
Li (0.5000, 0.0000, 0.5000)
Li (0.1250, 0.7500, 0.3750)
Li (0.0000, 0.5000, 0.0000)
Ac (0.7255, 0.1354, 0.0575)
Ac (0.3646, 0.4221, 0.0901)
Li (0.7500, 0.1250, 0.8750)
Ac (0.0779, 0.1680, 0.4425)
Ac (0.9099, 0.8320, 0.7745)
Ac (0.4221, 0.3646, 0.5901)
Li (0.2500, 0.8750, 0.1250)
Ac (0.4221, 0.0575, 0.3320)
Ac (0.5779, 0.9425, 0.6680)
Ac (0.5901, 0.8646, 0.4221)

Summary:
The formation energy comes out at 0.34 eV/atom. The calculated volume is 3192 Å³ per cell. The value obtained for the size of the total moment is 0.00 μB per formula unit. The total energy is -244.605 eV/cell.